Record 1
! PaAgSb2O7 PBE optimized geometry; values from VASP
&SYSTEM
  ibrav = 0, nat = 11, ntyp = 4
/
ATOMIC_SPECIES
Sb 121.76 Sb.upf
O 16.00 O.upf
Ag 107.87 Ag.upf
Pa 231.04 Pa.upf
CELL_PARAMETERS angstrom
3.858 0.000 0.000
0.000 3.858 0.000
0.000 0.000 11.233
ATOMIC_POSITIONS crystal
Sb 0.500 0.500 0.785
Sb 0.500 0.500 0.215
O 0.500 0.000 0.849
O 0.500 0.500 0.383
O 0.000 0.500 0.151
O 0.500 0.500 0.000
O 0.000 0.500 0.849
O 0.500 0.500 0.617
O 0.500 0.000 0.151
Ag 0.000 0.000 0.500
Pa 0.000 0.000 0.000
! SG: P4/mmm (123)
! Density in Mg/m³: 6.90
! Energy relative to the elements, uncorrected in eV per atom: -1.432
! Electronic total energy in Ry/atom: -0.4747


Record 2
! Pa2AgSbO8 PBE optimized geometry; values from VASP
&SYSTEM
  ibrav = 0, nat = 12, ntyp = 4
/
ATOMIC_SPECIES
O 16.00 O.upf
Ag 107.87 Ag.upf
Pa 231.04 Pa.upf
Sb 121.76 Sb.upf
CELL_PARAMETERS angstrom
5.486 0.000 0.000
0.000 5.486 0.000
-2.743 -2.743 5.496
ATOMIC_POSITIONS crystal
O 0.530 0.143 0.712
O 0.133 0.095 0.811
O 0.431 0.470 0.288
O 0.284 0.867 0.189
O 0.905 0.322 0.189
O 0.857 0.818 0.288
O 0.182 0.569 0.712
O 0.678 0.716 0.811
Ag 0.750 0.250 0.500
Pa 0.250 0.750 0.500
Pa 0.500 0.500 0.000
Sb 0.000 0.000 0.000
! SG: I-4 (82)
! Density in Mg/m³: 8.23
! Energy relative to the elements, uncorrected in eV per atom: -2.417
! Electronic total energy in Ry/atom: -0.5797


Record 3
! PaAg2SbO6 PBE optimized geometry; values from VASP
&SYSTEM
  ibrav = 0, nat = 10, ntyp = 4
/
ATOMIC_SPECIES
O 16.00 O.upf
Sb 121.76 Sb.upf
Ag 107.87 Ag.upf
Pa 231.04 Pa.upf
CELL_PARAMETERS angstrom
-4.137 -3.385 -2.040
2.521 0.145 -5.351
3.013 -1.649 4.646
ATOMIC_POSITIONS crystal
O 0.814 0.313 0.105
O 0.814 0.792 0.105
O 0.186 0.687 0.895
O 0.186 0.208 0.895
O 0.341 0.739 0.478
O 0.659 0.261 0.522
Sb 0.000 0.500 0.000
Ag 0.761 0.750 0.499
Ag 0.239 0.250 0.501
Pa 0.500 0.000 0.000
! SG: C2/m (12)
! Density in Mg/m³: 8.04
! Energy relative to the elements, uncorrected in eV per atom: -1.757
! Electronic total energy in Ry/atom: -0.4898


Record 4
! ScPaAgO6 PBE optimized geometry; values from VASP
&SYSTEM
  ibrav = 0, nat = 9, ntyp = 4
/
ATOMIC_SPECIES
O 16.00 O.upf
Ag 107.87 Ag.upf
Sc 44.96 Sc.upf
Pa 231.04 Pa.upf
CELL_PARAMETERS angstrom
-2.721 4.027 -0.603
-2.655 -1.124 4.477
4.396 2.999 0.192
ATOMIC_POSITIONS crystal
O 0.261 0.336 0.335
O 0.261 0.665 0.001
O 0.739 0.999 0.335
O 0.739 0.665 0.664
O 0.261 0.999 0.664
O 0.739 0.336 0.001
Ag 0.500 0.000 0.000
Sc 0.500 0.667 0.333
Pa 0.000 0.333 0.667
! SG: P312 (149)
! Density in Mg/m³: 6.63
! Energy relative to the elements, uncorrected in eV per atom: -2.191
! Electronic total energy in Ry/atom: -0.5566


> Among the records above, which one has the lowest density?

ScPaAgO6


> What is the formula in the second record?

Pa2AgSbO8


> The highest density belongs to which entry?

Pa2AgSbO8


> Which formula does entry 3 have?

PaAg2SbO6